1.
The following is a DFT calculation (PBE) of a relaxed K4SnS4 crystal.

Its uncorrected formation energy is -9.42 eV per formula unit. The value obtained for the total energy is -3.814 eV per atom.

The space group is P4_2/nmc (No. 137, origin choice 2) and the conventional cell measures 8.898, 8.898 and 7.268 Å, with angles of 90.00, 90.00 and 90.00 degrees. The distinct sites, in fractional coordinates, are K at (0.022, 0.250, 0.111), Sn at (0.250, 0.750, 0.250) and S at (0.031, 0.750, 0.447).



2.
The following is a DFT calculation (PBE) of a relaxed K3SnS crystal.

Its uncorrected formation energy is -1.94 eV per formula unit. The value obtained for the total energy is -2.673 eV per atom.

The space group is Pm-3m (No. 221) and the conventional cell measures 6.099, 6.099 and 6.099 Å, with angles of 90.00, 90.00 and 90.00 degrees. The distinct sites, in fractional coordinates, are K at (0.000, 0.000, 0.500), Sn at (0.500, 0.500, 0.500) and S at (0.000, 0.000, 0.000).



3.
The following is a DFT calculation (PBE) of a relaxed KSnS crystal.

Its uncorrected formation energy is -1.25 eV per formula unit. The value obtained for the total energy is -3.494 eV per atom.

The space group is Immm (No. 71) and the conventional cell measures 5.620, 6.583 and 14.303 Å, with angles of 90.00, 90.00 and 90.00 degrees. The distinct sites, in fractional coordinates, are K at (0.000, 0.000, 0.150), Sn at (0.000, 0.263, 0.500) and S at (0.000, 0.000, 0.365).



4.
The following is a DFT calculation (PBE) of a relaxed KSnS4 crystal.

Its uncorrected formation energy is -3.45 eV per formula unit. The value obtained for the total energy is -4.176 eV per atom.

The space group is P2_1/c (No. 14) and the conventional cell measures 9.788, 10.123 and 14.849 Å, with angles of 90.00, 111.38 and 90.00 degrees. The distinct sites, in fractional coordinates, are K at (0.127, 0.228, 0.099), K at (0.360, 0.640, 0.203), Sn at (0.311, 0.000, 0.406), Sn at (0.488, 0.674, 0.515), S at (0.008, 0.643, 0.696), S at (0.041, 0.655, 0.225), S at (0.048, 0.059, 0.405), S at (0.212, 0.566, 0.722), S at (0.246, 0.725, 0.965), S at (0.346, 0.228, 0.336), S at (0.422, 0.039, 0.087) and S at (0.436, 0.101, 0.576).



5.
The following is a DFT calculation (PBE) of a relaxed KSn3S crystal.

Its uncorrected formation energy is 6.91 eV per formula unit. The value obtained for the total energy is -2.065 eV per atom.

The space group is Pm-3m (No. 221) and the conventional cell measures 5.937, 5.937 and 5.937 Å, with angles of 90.00, 90.00 and 90.00 degrees. The distinct sites, in fractional coordinates, are K at (0.000, 0.000, 0.000), Sn at (0.000, 0.000, 0.500) and S at (0.500, 0.500, 0.500).



6.
The following is a DFT calculation (PBE) of a relaxed K2Sn2S5 crystal.

Its uncorrected formation energy is -5.63 eV per formula unit. The value obtained for the total energy is -4.052 eV per atom.

The space group is Ima2 (No. 46) and the conventional cell measures 18.182, 7.824 and 7.042 Å, with angles of 90.00, 90.00 and 90.00 degrees. The distinct sites, in fractional coordinates, are K at (0.102, 0.042, 0.000), Sn at (0.000, 0.000, 0.497), Sn at (0.250, 0.594, 0.976), S at (0.023, 0.740, 0.761), S at (0.144, 0.074, 0.558) and S at (0.250, 0.622, 0.622).



7.
The following is a DFT calculation (PBE) of a relaxed K2SrSnS4 crystal.

Its uncorrected formation energy is -9.04 eV per formula unit. The value obtained for the total energy is -4.178 eV per atom.

The space group is Imma (No. 74) and the conventional cell measures 8.215, 8.774 and 12.023 Å, with angles of 90.00, 90.00 and 90.00 degrees. The distinct sites, in fractional coordinates, are K at (0.000, 0.000, 0.000), K at (0.250, 0.250, 0.250), Sr at (0.000, 0.000, 0.500), Sn at (0.250, 0.250, 0.750), S at (0.000, 0.042, 0.747) and S at (0.241, 0.250, 0.537).



8.
The following is a DFT calculation (PBE) of a relaxed KSrSn2S crystal.

Its uncorrected formation energy is 4.06 eV per formula unit. The value obtained for the total energy is -2.170 eV per atom.

The space group is P4/mmm (No. 123) and the conventional cell measures 6.045, 6.045 and 6.820 Å, with angles of 90.00, 90.00 and 90.00 degrees. The distinct sites, in fractional coordinates, are K at (0.000, 0.000, 0.000), Sr at (0.000, 0.000, 0.500), Sn at (0.000, 0.500, 0.500) and S at (0.500, 0.500, 0.000).